Entry 1:
## Mg3Cu2Se2 (GGA-PBE)

Data for Mg3Cu2Se2 after structural relaxation.

Calculated values
ΔE_f (raw): -0.11 eV per atom
DOS(E_F): 0.30 states/eV/atom
offset from the most stable computed form: 284.4 meV/atom

```
Mg3Cu2Se2
1.0
1.850 -11.027 0.000
1.850 11.027 0.000
0.000 0.000 3.710
Mg Se Cu
3 2 2
direct
0.000 0.000 0.000
0.413 0.587 0.500
0.587 0.413 0.500
0.120 0.880 0.000
0.880 0.120 0.000
0.282 0.718 0.500
0.718 0.282 0.500
```



Entry 2:
## Hf2InFe (GGA-PBE)

Data for Hf2InFe after structural relaxation.

Calculated values
DOS(E_F): 0.85 states/eV/atom
energy of formation from the pure elements: 0.2490 eV/atom

```
Hf2InFe
1.0
7.533 0.000 0.000
0.000 7.533 0.000
3.767 3.767 2.824
Hf Fe In
4 2 2
direct
0.187 0.625 0.250
0.875 0.813 0.750
0.563 0.125 0.250
0.375 0.437 0.750
0.250 0.750 0.500
0.500 0.500 0.000
0.000 0.000 0.000
0.750 0.250 0.500
```



| no. | total DFT energy (no corrections) (eV/atom) |
| --- | --- |
| 1 | -2.96 |
| 2 | -7.53 |